The following is a DFT calculation (SCAN) of a PBEsol-optimized structure of K2CdAu.

space-group type: R3m
total energy: -29.323 eV per atom
DOS at the Fermi energy: 0.492 states/eV/atom

Cell and atoms, written as extended XYZ:
```
4
Lattice="-3.716 1.120 -2.806 -4.473 -0.514 1.632 -2.576 7.596 2.358" Properties=species:S:1:pos:R:3 pbc="T T T"
K -8.172 1.410 -0.875
K -8.090 5.351 0.590
Au -5.402 3.171 0.246
Cd -2.672 2.979 0.641
```